No. 1
Density functional theory data (PBE) for a relaxed structure of PrNdSm.

Output
SG ... Immm

Lattice parameters (Å, degrees): 5.823 6.828 6.828 95.40 64.76 64.76
Element x y z (fractional)
Pr1 0.500 0.667 0.333
Pr2 0.500 0.333 0.667
Nd1 0.748 0.752 0.752
Nd2 0.252 0.248 0.248
Sm1 0.000 0.834 0.166
Sm2 0.000 0.166 0.834


No. 2
Density functional theory data (PBE) for a relaxed structure of Pr2Nd4Sm.

Output
SG ... P-1

Lattice parameters (Å, degrees): 7.106 10.620 7.140 90.00 107.17 90.00
Element x y z (fractional)
Pr1 0.000 0.000 0.000
Pr2 0.000 0.000 0.500
Pr3 0.000 0.500 0.500
Pr4 0.500 0.000 0.500
Nd1 0.272 0.287 0.310
Nd2 0.731 0.218 0.189
Nd3 0.269 0.782 0.811
Nd4 0.728 0.713 0.690
Nd5 0.730 0.782 0.189
Nd6 0.729 0.286 0.691
Nd7 0.271 0.714 0.309
Nd8 0.270 0.218 0.811
Sm1 0.500 0.500 0.000
Sm2 0.000 0.500 0.000


No. 3
Density functional theory data (PBE) for a relaxed structure of Pr4Nd6Sm.

Output
SG ... I-42m

Lattice parameters (Å, degrees): 9.882 9.882 9.882 58.48 139.59 139.59
Element x y z (fractional)
Pr1 0.000 0.633 0.012
Pr2 0.380 0.367 0.367
Pr3 0.000 0.012 0.633
Pr4 0.620 0.988 0.988
Nd1 0.000 0.799 0.448
Nd2 0.000 0.448 0.799
Nd3 0.351 0.552 0.552
Nd4 0.500 0.500 0.000
Nd5 0.649 0.201 0.201
Nd6 0.500 0.000 0.500
Sm1 0.000 0.000 0.000


No. 4
Density functional theory data (PBE) for a relaxed structure of Pr3Nd2Sm8.

Output
SG ... C2/m

Lattice parameters (Å, degrees): 5.774 7.769 11.081 110.52 90.05 90.00
Element x y z (fractional)
Pr1 0.500 0.000 0.000
Pr2 0.000 0.291 0.000
Pr3 0.000 0.709 0.000
Nd1 0.498 0.242 0.484
Nd2 0.502 0.758 0.516
Sm1 0.001 0.670 0.340
Sm2 0.999 0.330 0.660
Sm3 0.999 0.134 0.268
Sm4 0.001 0.866 0.732
Sm5 0.500 0.602 0.787
Sm6 0.500 0.184 0.787
Sm7 0.500 0.816 0.213
Sm8 0.500 0.398 0.213


No. 5
Density functional theory data (PBE) for a relaxed structure of PrNd12Sm6.

Output
SG ... R-3

Lattice parameters (Å, degrees): 8.997 9.703 9.703 69.10 72.00 108.00
Element x y z (fractional)
Pr1 0.000 0.000 0.000
Nd1 0.525 0.842 0.264
Nd2 0.683 0.894 0.842
Nd3 0.789 0.264 0.894
Nd4 0.475 0.158 0.736
Nd5 0.317 0.106 0.158
Nd6 0.211 0.736 0.106
Nd7 0.264 0.423 0.631
Nd8 0.106 0.369 0.053
Nd9 0.159 0.053 0.577
Nd10 0.736 0.577 0.369
Nd11 0.894 0.631 0.947
Nd12 0.841 0.947 0.423
Sm1 0.421 0.473 0.211
Sm2 0.052 0.684 0.527
Sm3 0.368 0.789 0.684
Sm4 0.579 0.527 0.789
Sm5 0.948 0.316 0.473
Sm6 0.632 0.211 0.316


No. 6
Density functional theory data (PBE) for a relaxed structure of Pr2Nd4Sm.

Output
SG ... R-3m

Lattice parameters (Å, degrees): 3.686 3.686 21.122 84.99 84.99 60.00
Element x y z (fractional)
Pr1 0.428 0.428 0.715
Pr2 0.572 0.572 0.285
Nd1 0.143 0.143 0.571
Nd2 0.286 0.286 0.141
Nd3 0.714 0.714 0.859
Nd4 0.857 0.857 0.429
Sm1 0.000 0.000 0.000


No. 7
Density functional theory data (PBE) for a relaxed structure of Pr3Nd2Sm.

Output
SG ... Pnnm

Lattice parameters (Å, degrees): 3.479 6.857 18.178 90.00 90.00 90.00
Element x y z (fractional)
Pr1 0.000 0.000 0.000
Pr2 0.500 0.500 0.500
Pr3 0.500 0.735 0.820
Pr4 0.500 0.265 0.180
Pr5 0.000 0.235 0.680
Pr6 0.000 0.765 0.320
Nd1 0.500 0.770 0.151
Nd2 0.000 0.270 0.349
Nd3 0.000 0.730 0.651
Nd4 0.500 0.230 0.849
Sm1 0.000 0.000 0.500
Sm2 0.500 0.500 0.000


No. 8
Density functional theory data (PBE) for a relaxed structure of PrNdSm2.

Output
SG ... Amm2

Lattice parameters (Å, degrees): 3.589 5.716 7.023 90.00 104.80 90.00
Element x y z (fractional)
Pr1 0.802 0.500 0.605
Nd1 0.448 0.000 0.896
Sm1 0.062 0.500 0.124
Sm2 0.187 0.000 0.375


No. 9
Density functional theory data (PBE) for a relaxed structure of PrNd2Sm6.

Output
SG ... C2/m

Lattice parameters (Å, degrees): 3.549 12.271 12.271 48.03 54.73 54.73
Element x y z (fractional)
Pr1 0.000 0.000 0.000
Nd1 0.333 0.667 0.667
Nd2 0.667 0.333 0.333
Sm1 0.832 0.334 0.000
Sm2 0.168 0.000 0.666
Sm3 0.168 0.666 0.000
Sm4 0.500 0.333 0.667
Sm5 0.832 0.000 0.334
Sm6 0.500 0.667 0.333


No. 10
Density functional theory data (PBE) for a relaxed structure of Pr3NdSm8.

Output
SG ... P1

Lattice parameters (Å, degrees): 9.035 8.640 8.642 76.80 117.65 135.30
Element x y z (fractional)
Pr1 0.416 0.803 0.385
Pr2 0.416 0.062 0.646
Pr3 0.917 0.446 0.529
Nd1 0.920 0.114 0.866
Sm1 0.417 0.137 0.053
Sm2 0.418 0.470 0.721
Sm3 0.913 0.779 0.195
Sm4 0.417 0.728 0.980
Sm5 0.417 0.396 0.312
Sm6 0.918 0.188 0.271
Sm7 0.916 0.522 0.938
Sm8 0.916 0.855 0.604


No. 11
Density functional theory data (PBE) for a relaxed structure of Pr7Nd2Sm3.

Output
SG ... P2/m

Lattice parameters (Å, degrees): 3.622 6.589 18.528 75.25 90.00 90.00
Element x y z (fractional)
Pr1 0.500 0.239 0.504
Pr2 0.500 0.761 0.496
Pr3 0.000 0.558 0.166
Pr4 0.000 0.000 0.000
Pr5 0.000 0.442 0.834
Pr6 0.500 0.943 0.831
Pr7 0.500 0.057 0.169
Nd1 0.500 0.613 0.330
Nd2 0.500 0.387 0.670
Sm1 0.500 0.500 0.000
Sm2 0.000 0.115 0.340
Sm3 0.000 0.885 0.660


No. 12
Density functional theory data (PBE) for a relaxed structure of Pr3NdSm7.

Output
SG ... P3m1

Lattice parameters (Å, degrees): 8.837 7.233 7.233 120.00 90.00 90.00
Element x y z (fractional)
Pr1 0.784 0.500 0.500
Pr2 0.784 0.500 0.000
Pr3 0.784 0.000 0.500
Nd1 0.443 0.333 0.667
Sm1 0.118 0.167 0.833
Sm2 0.118 0.167 0.334
Sm3 0.124 0.667 0.333
Sm4 0.448 0.833 0.167
Sm5 0.448 0.335 0.167
Sm6 0.448 0.833 0.665
Sm7 0.118 0.666 0.833


| no. | total magnetic moment (μB/f.u.) | VASP energy (eV/cell) | volume (Å³ per cell) |
| --- | --- | --- | --- |
| 1 | 0.00 | -28.21 | 209.1 |
| 2 | 0.00 | -64.20 | 514.8 |
| 3 | 0.00 | -49.44 | 401.8 |
| 4 | 0.00 | -58.70 | 465.5 |
| 5 | 0.00 | -90.07 | 663.5 |
| 6 | 0.00 | -33.29 | 247.2 |
| 7 | 0.00 | -54.37 | 433.7 |
| 8 | 0.00 | -18.82 | 139.3 |
| 9 | 0.00 | -42.13 | 307.8 |
| 10 | 0.00 | -56.31 | 414.7 |
| 11 | 0.00 | -56.36 | 427.6 |
| 12 | 0.00 | -50.28 | 400.4 |